The following is a DFT calculation (PBE) of an optimized crystal structure of ZrBeHgPt.

The value obtained for the total magnetization is 0.00 μB per cell. The calculation puts the energy above the most stable polymorph in this dataset at 4 meV per atom.

Cell lengths 4.6101, 4.6101, 4.6101 Å; angles 60.00, 60.00, 60.00 degrees
Closest atoms and distances in Å follow each position.
Positions (direct):
Pt 0.5000 0.5000 0.5000  4 Be 2.82, 4 Zr 2.82
Zr 0.2500 0.2500 0.2500  4 Hg 2.82, 4 Pt 2.82
Be 0.7500 0.7500 0.7500  4 Pt 2.82, 4 Hg 2.82
Hg 0.0000 0.0000 0.0000  4 Zr 2.82, 4 Be 2.82